Entry 1:
Here is crystalline BaBe2Te at its relaxed geometry from Alexandria via LeMat-Bulk. Energies are from GGA-PBE.

Values from the calculation:
The value obtained for the formation energy without anion corrections is 6.58 kcal/mol of atoms. The value obtained for the size of the total moment is 0.0 μB/f.u.

Unit cell a=4.3316 b=4.3316 c=18.1609 alpha=90.00 beta=90.00 gamma=120.00
Space group R-3m (No. 166, hexagonal axes)
Unique sites:
Ba 0.0000 0.0000 0.0000 (multiplicity 3)
Be 0.0000 0.0000 0.2159 (multiplicity 6)
Te 0.0000 0.0000 0.5000 (multiplicity 3)

Entry 2:
Here is crystalline ScMn2Hg at its relaxed geometry from Alexandria via LeMat-Bulk. Energies are from GGA-PBE.

Values from the calculation:
The calculation puts the total energy at -24.3 eV for the cell shown. The value obtained for the size of the total moment is 6.0 μB/f.u.

Unit cell a=3.112 b=3.878 c=5.867 alpha=90.00 beta=90.00 gamma=90.00
Space group Pmmm (No. 47)
Unique sites:
Sc 0.000 0.000 0.000 (multiplicity 1)
Mn 0.500 0.500 0.241 (multiplicity 2)
Hg 0.000 0.000 0.500 (multiplicity 1)